DFT (PBE) results for an optimized crystal structure of AgCl5.

Lattice parameters (Å, degrees): 5.765 5.765 5.765 60.00 60.00 60.00
Last column: magnetic moment on the atom in μB.
Sites, in units of the cell vectors:
1 Cl 0.125 0.625 0.625  0.03
2 Cl 0.625 0.125 0.625  0.03
3 Cl 0.250 0.250 0.250  -0.21
4 Cl 0.625 0.625 0.625  0.03
5 Cl 0.625 0.625 0.125  0.03
6 Ag 0.000 0.000 0.000  -0.01

Properties
As for the symmetry: F-43m (216). Its total moment is 0.2 μB/f.u. For the density, the calculation gives 3.49 Mg/m³. The value obtained for the excess energy over the best structure of this formula in the dataset is 4.227 eV/f.u.